No. 1
Density functional theory data (PBE) for a relaxed TaH2IrRh crystal.

Properties
raw total energy = -6.483 eV/atom

Cell: 3.5102 5.2373 3.5102 Å, 90.00 90.00 90.00°
Atoms (fractional coordinates):
H: 0.0000 0.0000 0.5000
H: 0.5000 0.0000 0.0000
Ir: 0.0000 0.0000 0.0000
Rh: 0.0000 0.5000 0.0000
Ta: 0.5000 0.5000 0.5000



No. 2
Density functional theory data (PBE) for a relaxed Fe4C3 crystal.

Properties
formation energy = 0.569 eV per atom

Cell: 8.4818 8.4818 8.4818 Å, 161.50 161.50 26.28°
Site moments in Bohr magnetons follow the coordinates.
Atoms (fractional coordinates):
Fe: 0.8030 0.8030 0.0000  1.14
Fe: 0.1970 0.1970 0.0000  1.14
Fe: 0.5687 0.5687 0.0000  1.74
Fe: 0.4313 0.4313 0.0000  1.74
C: 0.0000 0.0000 0.0000  -0.12
C: 0.6822 0.6822 0.0000  -0.06
C: 0.3178 0.3178 0.0000  -0.06



No. 3
Density functional theory data (PBE) for a relaxed BaCa2Pt2 crystal.

Properties
relative energy among the computed polymorphs = 205 meV/atom
formation energy = -0.563 eV per atom

Cell: 5.3082 5.3082 6.6697 Å, 66.55 66.55 90.00°
Atoms (fractional coordinates):
Ca: 0.3357 0.3357 0.3286
Ca: 0.6643 0.6643 0.6714
Ba: 0.0000 0.0000 0.0000
Pt: 0.7500 0.2500 0.5000
Pt: 0.2500 0.7500 0.5000



No. 4
Density functional theory data (PBE) for a relaxed ThNbGe2 crystal.

Properties
relative energy among the computed polymorphs = 65 meV/atom
formation energy = -0.387 eV per atom

Cell: 3.5447 3.5447 6.5116 Å, 90.00 90.00 90.00°
Atoms (fractional coordinates):
Nb: 0.5000 0.5000 0.0000
Ge: 0.0000 0.0000 0.7986
Ge: 0.0000 0.0000 0.2014
Th: 0.5000 0.5000 0.5000



No. 5
Density functional theory data (PBE) for a relaxed Ac8Ru3 crystal.

Properties
formation energy = -0.110 eV per atom

Cell: 7.3918 7.3918 7.3918 Å, 90.69 90.69 90.69°
Atoms (fractional coordinates):
Ac: 0.6526 0.1660 0.8404
Ac: 0.8404 0.6526 0.1660
Ac: 0.1660 0.8404 0.6526
Ac: 0.6598 0.6598 0.6598
Ac: 0.3402 0.3402 0.3402
Ac: 0.8340 0.1596 0.3474
Ac: 0.1596 0.3474 0.8340
Ac: 0.3474 0.8340 0.1596
Ru: 0.0000 0.5000 0.5000
Ru: 0.5000 0.0000 0.5000
Ru: 0.5000 0.5000 0.0000



No. 6
Density functional theory data (PBE) for a relaxed CrPtCl3 crystal.

Properties
formation energy from raw total energies = 2.253 eV/f.u.

Cell: 4.6001 4.6001 4.6001 Å, 90.00 90.00 90.00°
Atoms (fractional coordinates):
Cr: 0.0000 0.0000 0.0000
Pt: 0.5000 0.5000 0.5000
Cl: 0.0000 0.5000 0.0000
Cl: 0.0000 0.0000 0.5000
Cl: 0.5000 0.0000 0.0000



No. 7
Density functional theory data (PBE) for a relaxed Ba3Sr4Ca3 crystal.

Properties
formation energy = 0.093 eV per atom

Cell: 4.3651 11.1951 11.1951 Å, 90.62 90.00 90.00°
Atoms (fractional coordinates):
Ba: 0.0000 0.5018 0.0033
Ba: 0.0000 0.9967 0.4982
Ba: 0.5000 0.1692 0.8308
Sr: 0.0000 0.6290 0.3710
Sr: 0.0000 0.3837 0.6163
Sr: 0.0000 0.8603 0.8799
Sr: 0.0000 0.1201 0.1397
Ca: 0.5000 0.8285 0.1715
Ca: 0.5000 0.3373 0.3266
Ca: 0.5000 0.6734 0.6627



No. 8
Density functional theory data (PBE) for a relaxed Fe2Sb crystal.

Properties
formation energy from raw total energies = 0.916 eV/f.u.

Cell: 6.3410 6.3410 3.9995 Å, 90.00 90.00 120.00°
Site moments in Bohr magnetons follow the coordinates.
Atoms (fractional coordinates):
Fe: 0.2378 0.0000 0.0000  1.60
Fe: 0.0000 0.2378 0.0000  1.60
Fe: 0.7622 0.7622 0.0000  1.60
Fe: 0.5446 0.0000 0.5000  2.51
Fe: 0.0000 0.5446 0.5000  2.51
Fe: 0.4554 0.4554 0.5000  2.51
Sb: 0.3333 0.6667 0.0000  -0.07
Sb: 0.6667 0.3333 0.0000  -0.07
Sb: 0.0000 0.0000 0.5000  -0.07



Number 1: calculated volume 64.5 Å³/cell, magnetization 0.00 μB/cell. Number 2: calculated volume 61.4 Å³/cell, magnetization 5.44 μB/cell. Number 3: calculated volume 155.3 Å³/cell, magnetization 0.00 μB/cell. Number 4: calculated volume 81.8 Å³/cell, magnetization 0.00 μB/cell. Number 5: calculated volume 403.8 Å³/cell, magnetization 0.00 μB/cell. Number 6: calculated volume 97.3 Å³/cell, magnetization 0.06 μB/cell. Number 7: calculated volume 547.0 Å³/cell, magnetization 0.07 μB/cell. Number 8: calculated volume 139.3 Å³/cell, magnetization 11.91 μB/cell.